Entry from Alexandria: a crystal of AlTlCd2 relaxed with PBEsol (SCAN).

a b c (Å): 3.0585 5.2607 6.3221
angles (deg): 114.59 104.00 90.00
Atoms (fractional coordinates):
Tl  0.0000  0.5000  0.0000
Al  0.5000  0.0000  0.0000
Cd  0.7734  0.7734  0.5467
Cd  0.2266  0.2266  0.4533

Values from the calculation:
volume: 89.2 Å³ per cell
energy relative to the lowest polymorph listed for this composition: 35 meV per atom
calculated formation energy: 62 kJ/mol of formula units
uncorrected energy: -35.0743 eV per atom
crystal system: orthorhombic